[1]
Crystalline Dy2Ni4Ge3Ru at its relaxed geometry, computed with PBE-GGA.

a = 3.9758 Å, b = 3.9758 Å, c = 10.1350 Å
α = 90.00°, β = 90.00°, γ = 90.00°
Closest atoms and distances in Å follow each position.
Space group P-4m2 (No. 115)
Unique sites:
1 Dy 0.0000 0.5000 0.2480  8 Ni 3.03-3.20, 6 Ge 3.06-3.24, 2 Ru 3.24
2 Ni 0.0000 0.0000 0.0000  4 Ge 2.38
3 Ni 0.0000 0.5000 0.6400  3 Ge 2.34-2.44, 2 Ru 2.44
4 Ni 0.5000 0.5000 0.0000  4 Ge 2.38
5 Ge 0.0000 0.5000 0.8712  5 Ni 2.34-2.38
6 Ge 0.5000 0.5000 0.5000  4 Ni 2.44
7 Ru 0.0000 0.0000 0.5000  4 Ni 2.44

Properties
**Energy of formation**: -0.555 eV per atom

=====

[2]
Crystalline DyNiGe2Ru at its relaxed geometry, computed with PBE-GGA.

a = 4.0341 Å, b = 4.0341 Å, c = 10.4591 Å
α = 90.00°, β = 90.00°, γ = 90.00°
Closest atoms and distances in Å follow each position.
Space group I-4m2 (No. 119)
Unique sites:
1 Dy 0.0000 0.0000 0.0000  8 Ge 3.13, 4 Ni 3.30, 4 Ru 3.30
2 Ni 0.0000 0.5000 0.2500  4 Ge 2.42
3 Ge 0.0000 0.0000 0.3775  2 Ru 2.42, 2 Ni 2.42, 1 Ge 2.56
4 Ru 0.0000 0.5000 0.7500  4 Ge 2.42

Properties
**Energy of formation**: -0.644 eV per atom

=====

[3]
Crystalline DyScNiGe at its relaxed geometry, computed with PBE-GGA.

a = 6.7557 Å, b = 6.7557 Å, c = 6.7557 Å
α = 90.00°, β = 90.00°, γ = 90.00°
Closest atoms and distances in Å follow each position.
Space group F-43m (No. 216)
Unique sites:
1 Dy 0.0000 0.0000 0.0000  4 Ge 2.93, 4 Ni 2.93
2 Sc 0.0000 0.0000 0.5000  4 Ge 2.93, 4 Ni 2.93
3 Ni 0.2500 0.2500 0.2500  4 Dy 2.93, 4 Sc 2.93
4 Ge 0.2500 0.2500 0.7500  4 Dy 2.93, 4 Sc 2.93

Properties
**Energy of formation**: -0.555 eV per atom

=====

[4]
Crystalline Dy2SiNi4Ge3 at its relaxed geometry, computed with PBE-GGA.

a = 4.0459 Å, b = 4.0459 Å, c = 9.6310 Å
α = 90.00°, β = 90.00°, γ = 90.00°
Closest atoms and distances in Å follow each position.
Space group P-4m2 (No. 115)
Unique sites:
1 Dy 0.0000 0.5000 0.2490  6 Ge 3.08-3.14, 8 Ni 3.11-3.15, 2 Si 3.14
2 Si 0.5000 0.5000 0.0000  4 Ni 2.34
3 Ni 0.0000 0.0000 0.5000  4 Ge 2.39
4 Ni 0.0000 0.5000 0.8770  2 Si 2.34, 3 Ge 2.34-2.36
5 Ni 0.5000 0.5000 0.5000  4 Ge 2.39
6 Ge 0.0000 0.0000 0.0000  4 Ni 2.34
7 Ge 0.0000 0.5000 0.6321  5 Ni 2.36-2.39

Properties
**ΔE_f (raw)**: -70.2 kJ/mol of atoms

=====

[5]
Crystalline SmDyNi2Ge2 at its relaxed geometry, computed with PBE-GGA.

a = 4.2378 Å, b = 4.2378 Å, c = 7.2747 Å
α = 90.00°, β = 90.00°, γ = 120.00°
Closest atoms and distances in Å follow each position.
Space group P-3m1 (No. 164)
Unique sites:
1 Sm 0.0000 0.0000 0.0000  6 Ge 3.10, 6 Ni 3.15
2 Dy 0.0000 0.0000 0.5000  6 Ni 2.96, 6 Ge 3.00
3 Ni 0.3333 0.6667 0.7280  3 Ge 2.45
4 Ge 0.3333 0.6667 0.2622  3 Ni 2.45

Properties
**Energy of formation**: -0.741 eV per atom

=====

[6]
Crystalline Dy3Ni9SnGe2 at its relaxed geometry, computed with PBE-GGA.

a = 5.9408 Å, b = 5.9408 Å, c = 9.0333 Å
α = 90.00°, β = 90.00°, γ = 120.00°
Closest atoms and distances in Å follow each position.
Space group P-3m1 (No. 164)
Unique sites:
1 Dy 0.0000 0.0000 0.0000  12 Ni 2.78-2.97
2 Dy 0.3333 0.6667 0.7300  9 Ni 2.98-2.99
3 Ni 0.0000 0.5000 0.0000  2 Ge 2.34
4 Ni 0.1343 0.2686 0.2676  1 Ge 2.21, 2 Ni 2.39
5 Sn 0.0000 0.0000 0.5000  6 Ni 2.51
6 Ge 0.3333 0.6667 0.1756  6 Ni 2.21-2.34

Properties
**Energy of formation**: -0.186 eV per atom

=====

| no. | volume (Å³/cell) | DFT total energy (eV per atom) | D(E_F) (states/eV/cell) |
| --- | --- | --- | --- |
| 1 | 160.20 | -6.1004 | 9.8 |
| 2 | 170.21 | -6.4227 | 4.4 |
| 3 | 308.33 | -5.8877 | 6.0 |
| 4 | 157.66 | -5.8878 | 6.4 |
| 5 | 113.15 | -5.7608 | 5.5 |
| 6 | 276.10 | -5.4582 | 8.8 |